Computed, not measured: a relaxed structure of La2Tb3Pm6Y at the GGA-PBE level of DFT.

Calculated values
- DOS(E_F): 18.0 states/eV/f.u.
- ΔE_f: 18 meV/atom

Structure (POSCAR):
```
La2Tb3Pm6Y
1.0
3.1535 -5.4623 0.0000
3.1535 5.4623 0.0000
-2.1125 0.0000 11.8819
La Tb Pm Y
2 3 6 1
direct
0.1666 0.8334 0.0000
0.8334 0.1666 0.0000
0.0000 0.0000 0.5000
0.3337 0.6663 0.5000
0.6663 0.3337 0.5000
0.0826 0.4151 0.7458
0.2523 0.2523 0.2546
0.4151 0.0826 0.7458
0.5849 0.9174 0.2542
0.7477 0.7477 0.7454
0.9174 0.5849 0.2542
0.5000 0.5000 0.0000
```

Computed, not measured: a relaxed structure of La2Tb2Pm2Y at the GGA-PBE level of DFT.

Calculated values
- DOS(E_F): 11.4 states/eV/f.u.
- ΔE_f: 23 meV/atom

Structure (POSCAR):
```
La2Tb2Pm2Y
1.0
5.7563 -2.5780 0.0000
5.7563 2.5780 0.0000
-1.1533 0.0000 8.0740
La Tb Pm Y
2 2 2 1
direct
0.1425 0.1425 0.4266
0.8575 0.8575 0.5734
0.4292 0.4292 0.2835
0.5708 0.5708 0.7165
0.2851 0.2851 0.8600
0.7149 0.7149 0.1400
0.0000 0.0000 0.0000
```

Computed, not measured: a relaxed structure of La2TbPm6Y at the GGA-PBE level of DFT.

Calculated values
- DOS(E_F): 15.1 states/eV/f.u.
- ΔE_f: 111 meV/atom

Structure (POSCAR):
```
La2TbPm6Y
1.0
4.5724 -7.6636 0.0000
4.5724 7.6636 0.0000
-1.7726 0.0000 9.9142
La Tb Pm Y
4 2 12 2
direct
0.1935 0.2929 0.0402
0.2929 0.1935 0.5402
0.7071 0.8065 0.4598
0.8065 0.7071 0.9598
0.0136 0.9864 0.2500
0.9864 0.0136 0.7500
0.0217 0.5813 0.1875
0.1227 0.7433 0.5557
0.2567 0.8773 0.9443
0.2934 0.4994 0.3783
0.4187 0.9783 0.3125
0.4994 0.2934 0.8783
0.5006 0.7066 0.1217
0.5813 0.0217 0.6875
0.7066 0.5006 0.6217
0.7433 0.1227 0.0557
0.8773 0.2567 0.4443
0.9783 0.4187 0.8125
0.4047 0.5953 0.7500
0.5953 0.4047 0.2500
```

Computed, not measured: a relaxed structure of LaTb2Pm2Y2 at the GGA-PBE level of DFT.

Calculated values
- DOS(E_F): 12.6 states/eV/f.u.
- ΔE_f: 92 meV/atom

Structure (POSCAR):
```
LaTb2Pm2Y2
1.0
5.9432 -1.7728 0.0000
5.9432 1.7728 0.0000
-3.7291 0.0000 11.3096
La Tb Pm Y
1 2 2 2
direct
0.0000 0.0000 0.0000
0.2250 0.2250 0.8607
0.7750 0.7750 0.1393
0.3270 0.3270 0.4155
0.6730 0.6730 0.5845
0.4497 0.4497 0.7246
0.5503 0.5503 0.2754
```

Computed, not measured: a relaxed structure of La5TbPm2Y at the GGA-PBE level of DFT.

Calculated values
- DOS(E_F): 17.5 states/eV/f.u.
- ΔE_f: 272 meV/atom

Structure (POSCAR):
```
La5TbPm2Y
1.0
-4.4048 4.4048 8.3341
4.4048 -4.4048 8.3341
4.4048 4.4048 -8.3341
La Tb Pm Y
10 2 4 2
direct
0.0000 0.0000 0.0000
0.0740 0.5740 0.9336
0.1404 0.0740 0.5000
0.3596 0.8596 0.9336
0.4260 0.3596 0.5000
0.5000 0.5000 0.0000
0.5740 0.6404 0.5000
0.6404 0.1404 0.0664
0.8596 0.9260 0.5000
0.9260 0.4260 0.0664
0.2500 0.2500 0.0000
0.7500 0.7500 0.0000
0.1199 0.3801 0.5000
0.3801 0.8801 0.2602
0.6199 0.1199 0.7398
0.8801 0.6199 0.5000
0.2500 0.7500 0.5000
0.7500 0.2500 0.5000
```

Computed, not measured: a relaxed structure of LaPm3Tc at the GGA-PBE level of DFT.

Calculated values
- DOS(E_F): 5.1 states/eV/f.u.
- ΔE_f: 18 meV/atom

Structure (POSCAR):
```
LaPm3Tc
1.0
6.2126 -2.0162 0.0000
6.2126 2.0162 0.0000
-4.9572 0.0000 12.2909
La Pm Tc
2 6 2
direct
0.0000 0.0000 0.0000
0.1052 0.1052 0.2793
0.3097 0.3097 0.7643
0.3272 0.3272 0.1405
0.6418 0.6418 0.5303
0.6717 0.6717 0.9021
0.8635 0.8635 0.3908
0.9793 0.9793 0.6657
0.3053 0.3053 0.5307
0.6656 0.6656 0.1454
```